# Ti2HgOs2 (meta-GGA SCAN, single point on PBEsol structure)
# E_tot	-243.8	eV per cell
data_Ti2HgOs2
_chemical_formula_sum 'Ti2 Hg1 Os2'
_cell_length_a 4.097
_cell_length_b 4.097
_cell_length_c 6.074
_cell_angle_alpha 109.71
_cell_angle_beta 109.71
_cell_angle_gamma 90.00
_symmetry_space_group_name_H-M 'P 1'
_symmetry_Int_Tables_number 1
_symmetry_space_group_name_Hall 'P 1'
loop_
_atom_site_label
_atom_site_type_symbol
_atom_site_fract_x
_atom_site_fract_y
_atom_site_fract_z
_atom_site_occupancy
Os1 Os 0.384 0.384 0.768 1
Os2 Os 0.616 0.616 0.232 1
Hg1 Hg 0.000 0.000 0.000 1
Ti1 Ti 0.250 0.750 0.500 1
Ti2 Ti 0.750 0.250 0.500 1

# TiHgOs3 (meta-GGA SCAN, single point on PBEsol structure)
# E_tot	-290.4	eV per cell
data_TiHgOs3
_chemical_formula_sum 'Ti1 Hg1 Os3'
_cell_length_a 4.521
_cell_length_b 4.521
_cell_length_c 4.521
_cell_angle_alpha 90.00
_cell_angle_beta 90.00
_cell_angle_gamma 90.00
_symmetry_space_group_name_H-M 'P 1'
_symmetry_Int_Tables_number 1
_symmetry_space_group_name_Hall 'P 1'
loop_
_atom_site_label
_atom_site_type_symbol
_atom_site_fract_x
_atom_site_fract_y
_atom_site_fract_z
_atom_site_occupancy
Os1 Os 0.000 0.500 0.000 1
Os2 Os 0.000 0.000 0.500 1
Os3 Os 0.500 0.000 0.000 1
Hg1 Hg 0.500 0.500 0.500 1
Ti1 Ti 0.000 0.000 0.000 1

# TlHgOs2 (meta-GGA SCAN, single point on PBEsol structure)
# E_tot	-281.3	eV per cell
data_TlHgOs2
_chemical_formula_sum 'Tl1 Hg1 Os2'
_cell_length_a 2.788
_cell_length_b 4.105
_cell_length_c 7.742
_cell_angle_alpha 99.45
_cell_angle_beta 90.00
_cell_angle_gamma 109.85
_symmetry_space_group_name_H-M 'P 1'
_symmetry_Int_Tables_number 1
_symmetry_space_group_name_Hall 'P 1'
loop_
_atom_site_label
_atom_site_type_symbol
_atom_site_fract_x
_atom_site_fract_y
_atom_site_fract_z
_atom_site_occupancy
Hg1 Hg 0.739 0.477 0.218 1
Os1 Os 0.007 0.014 0.947 1
Os2 Os 0.250 0.500 0.805 1
Tl1 Tl 0.504 0.009 0.529 1